1.
Material: UAsRh2
Method: DFT, PBE-GGA
State: optimized geometry

D(E_F) (states/eV/cell): 17.3
Crystal system: trigonal
Final energy (eV/cell): -97.9

Unit cell a=4.1732 b=4.1732 c=14.2695 alpha=90.00 beta=90.00 gamma=120.00
Space group R-3m (No. 166, hexagonal axes)
One atom of each set of equivalent atoms:
U 0.0000 0.0000 0.0000
As 0.0000 0.0000 0.5000
Rh 0.0000 0.0000 0.2237

---

2.
Material: U4As6Rh7
Method: DFT, PBE-GGA
State: optimized geometry

D(E_F) (states/eV/cell): 54.9
Crystal system: cubic
Final energy (eV/cell): -269.9

Unit cell a=8.450 b=8.450 c=8.450 alpha=90.00 beta=90.00 gamma=90.00
Space group Im-3m (No. 229)
One atom of each set of equivalent atoms:
U 0.250 0.250 0.250
As 0.000 0.000 0.310
Rh 0.000 0.000 0.000
Rh 0.000 0.250 0.500

---

3.
Material: U3As4Rh3
Method: DFT, PBE-GGA
State: optimized geometry

D(E_F) (states/eV/cell): 71.8
Crystal system: cubic
Final energy (eV/cell): -324.9

Unit cell a=9.185 b=9.185 c=9.185 alpha=90.00 beta=90.00 gamma=90.00
Space group I-43d (No. 220)
One atom of each set of equivalent atoms:
U 0.000 0.250 0.875
As 0.088 0.412 0.588
Rh 0.000 0.250 0.375

---

4.
Material: VAsRh2
Method: DFT, PBE-GGA
State: optimized geometry

D(E_F) (states/eV/cell): 5.4
Crystal system: tetragonal
Final energy (eV/cell): -29.5

Unit cell a=3.921 b=3.921 c=3.741 alpha=90.00 beta=90.00 gamma=90.00
Space group P4/mmm (No. 123)
One atom of each set of equivalent atoms:
V 0.000 0.000 0.000
As 0.500 0.500 0.000
Rh 0.000 0.500 0.500

---

5.
Material: V6AsRh12
Method: DFT, PBE-GGA
State: optimized geometry

D(E_F) (states/eV/cell): 60.0
Crystal system: trigonal
Final energy (eV/cell): -460.9

Unit cell a=11.7835 b=11.7835 c=6.6466 alpha=90.00 beta=90.00 gamma=120.00
Space group R-3 (No. 148, hexagonal axes)
One atom of each set of equivalent atoms:
V 0.0252 0.2702 0.3458
As 0.0000 0.0000 0.0000
Rh 0.0096 0.1424 0.6592
Rh 0.0642 0.5608 0.6729

---

6.
Material: VAsRh2
Method: DFT, PBE-GGA
State: optimized geometry

D(E_F) (states/eV/cell): 11.2
Crystal system: tetragonal
Final energy (eV/cell): -110.8

Unit cell a=5.314 b=5.314 c=11.410 alpha=90.00 beta=90.00 gamma=90.00
Space group I-42d (No. 122)
One atom of each set of equivalent atoms:
V 0.000 0.000 0.000
As 0.000 0.000 0.500
Rh 0.242 0.250 0.125

---

7.
Material: VAs2Rh
Method: DFT, PBE-GGA
State: optimized geometry

D(E_F) (states/eV/cell): 14.9
Crystal system: tetragonal
Final energy (eV/cell): -104.5

Unit cell a=4.119 b=4.119 c=16.163 alpha=90.00 beta=90.00 gamma=90.00
Space group I-42d (No. 122)
One atom of each set of equivalent atoms:
V 0.000 0.000 0.000
As 0.245 0.250 0.625
Rh 0.000 0.000 0.500

---

8.
Material: VAsRh2
Method: DFT, PBE-GGA
State: optimized geometry

D(E_F) (states/eV/cell): 4.4
Crystal system: tetragonal
Final energy (eV/cell): -29.5

Unit cell a=2.859 b=2.859 c=7.079 alpha=90.00 beta=90.00 gamma=90.00
Space group P4/mmm (No. 123)
One atom of each set of equivalent atoms:
V 0.000 0.000 0.000
As 0.000 0.000 0.500
Rh 0.500 0.500 0.242

---

Calculated formation energy list, top to bottom, in eV/atom: -0.497 -0.613 -0.670 -0.256 -0.318 0.196 -0.088 -0.245